# 1
Entry from Alexandria: a relaxed B2IrRu crystal (GGA-PBE).

Computed properties:
E above lowest polymorph, meV per atom: 340
Electronic total energy, eV/atom: -7.81
Energy of formation, eV/atom: 0.065
Space-group type: Fm-3m, No. 225
Density of states at the Fermi level, states/eV/cell: 2.2

The structure in CIF format:
```
data_B2IrRu
_space_group_name_H-M_alt 'P 1'
_space_group_IT_number 1
_cell_length_a 3.846
_cell_length_b 3.846
_cell_length_c 3.846
_cell_angle_alpha 60.00
_cell_angle_beta 60.00
_cell_angle_gamma 60.00
loop_
_space_group_symop_operation_xyz
'x,y,z'
loop_
_atom_site_label
_atom_site_type_symbol
_atom_site_fract_x
_atom_site_fract_y
_atom_site_fract_z
_atom_site_occupancy
Ir1 Ir 0.500 0.500 0.500 1
B1 B 0.750 0.750 0.750 1
B2 B 0.250 0.250 0.250 1
Ru1 Ru 0.000 0.000 0.000 1
```


# 2
Entry from Alexandria: a relaxed B2IrRu crystal (GGA-PBE).

Computed properties:
E above lowest polymorph, meV per atom: 289
Electronic total energy, eV/atom: -7.86
Energy of formation, eV/atom: 0.013
Space-group type: R-3m, No. 166
Density of states at the Fermi level, states/eV/cell: 0.7

The structure in CIF format:
```
data_B2IrRu
_space_group_name_H-M_alt 'P 1'
_space_group_IT_number 1
_cell_length_a 3.524
_cell_length_b 3.524
_cell_length_c 4.369
_cell_angle_alpha 66.22
_cell_angle_beta 66.22
_cell_angle_gamma 60.00
loop_
_space_group_symop_operation_xyz
'x,y,z'
loop_
_atom_site_label
_atom_site_type_symbol
_atom_site_fract_x
_atom_site_fract_y
_atom_site_fract_z
_atom_site_occupancy
B1 B 0.251 0.251 0.246 1
B2 B 0.749 0.749 0.754 1
Ru1 Ru 0.500 0.500 0.500 1
Ir1 Ir 0.000 0.000 0.000 1
```


# 3
Entry from Alexandria: a relaxed B2IrRu crystal (GGA-PBE).

Computed properties:
E above lowest polymorph, meV per atom: 119
Electronic total energy, eV/atom: -8.03
Energy of formation, eV/atom: -0.157
Space-group type: P2_1/m, No. 11
Density of states at the Fermi level, states/eV/cell: 2.8

The structure in CIF format:
```
data_B2IrRu
_space_group_name_H-M_alt 'P 1'
_space_group_IT_number 1
_cell_length_a 3.653
_cell_length_b 4.076
_cell_length_c 5.858
_cell_angle_alpha 109.85
_cell_angle_beta 90.00
_cell_angle_gamma 90.00
loop_
_space_group_symop_operation_xyz
'x,y,z'
loop_
_atom_site_label
_atom_site_type_symbol
_atom_site_fract_x
_atom_site_fract_y
_atom_site_fract_z
_atom_site_occupancy
B1 B 0.250 0.158 0.020 1
B2 B 0.250 0.154 0.519 1
B3 B 0.750 0.842 0.980 1
B4 B 0.750 0.846 0.481 1
Ir1 Ir 0.750 0.270 0.335 1
Ir2 Ir 0.250 0.730 0.665 1
Ru1 Ru 0.250 0.730 0.163 1
Ru2 Ru 0.750 0.270 0.837 1
```